No. 1
# Pb2SeO4

A relaxed structure of Pb2SeO4 (GGA-PBE, the Alexandria database).

Results
**DOS(E_F)**: 0.00 states/eV per cell

Cell lengths 5.8276, 5.8276, 5.8281 Å; angles 120.02, 120.02, 89.96 degrees
Fractional coordinates of all 7 atoms:
O  0.8253  0.2555  0.0808
O  0.2555  0.8252  0.0807
Se  0.9691  0.9691  0.9382
Pb  0.6849  0.1849  0.3699
Pb  0.1850  0.6849  0.3699
O  0.2553  0.2553  0.0803
O  0.8250  0.8250  0.0803

=====

No. 2
# Pb5Se4O

A relaxed structure of Pb5Se4O (GGA-PBE, the Alexandria database).

Cell lengths 6.2241, 7.4031, 7.4031 Å; angles 79.82, 65.14, 65.14 degrees
Fractional coordinates of all 10 atoms:
Pb  0.9054  0.3637  0.8138
Se  0.8169  0.7800  0.6082
Se  0.2051  0.2200  0.3918
Se  0.5969  0.6082  0.2200
Pb  0.0829  0.6363  0.1862
Pb  0.4277  0.0000  0.0000
Se  0.4251  0.3918  0.7800
O  0.0618  0.0000  0.0000
Pb  0.2691  0.8138  0.6363
Pb  0.7193  0.1862  0.3637

=====

No. 3
# Pb2SeO

A relaxed structure of Pb2SeO (GGA-PBE, the Alexandria database).

Results
**DOS(E_F)**: 0.00 states/eV per cell
**Polymorph energy (0 for the lowest one)**: 0.621 eV/f.u.

Cell lengths 6.3027, 6.3027, 7.5281 Å; angles 65.25, 65.25, 90.00 degrees
Fractional coordinates of all 8 atoms:
Se  0.7500  0.2500  0.5000
Se  0.0000  0.0000  0.0000
O  0.5000  0.5000  0.0000
Pb  0.8750  0.8044  0.7500
Pb  0.3750  0.4456  0.7500
Pb  0.5544  0.1250  0.2500
Pb  0.1956  0.6250  0.2500
O  0.2500  0.7500  0.5000

=====

No. 4
# Pb2SeO

A relaxed structure of Pb2SeO (GGA-PBE, the Alexandria database).

Results
**Polymorph energy (0 for the lowest one)**: 0.000 eV/f.u.

Cell lengths 5.9761, 4.0365, 9.1286 Å; angles 90.00, 88.29, 90.00 degrees
Fractional coordinates of all 8 atoms:
O  0.3261  0.8583  0.2049
Pb  0.2033  0.3584  0.0814
Pb  0.6941  0.3583  0.7585
Se  0.0149  0.8583  0.8096
Se  0.8870  0.3583  0.4064
Pb  0.2078  0.8584  0.4575
O  0.5759  0.3583  0.0110
Pb  0.6988  0.8584  0.1346

=====

No. 5
# PbSe2O8

A relaxed structure of PbSe2O8 (GGA-PBE, the Alexandria database).

Cell lengths 5.6021, 6.1667, 6.2800 Å; angles 110.68, 90.00, 117.01 degrees
Site moments in Bohr magnetons follow the coordinates.
Fractional coordinates of all 11 atoms:
O  0.4078  0.3340  0.8219  0.39
O  0.1392  0.2783  0.4315  0.11
Se  0.7762  0.5524  0.2839  -0.02
O  0.5922  0.6660  0.1781  0.39
O  0.9262  0.3340  0.8219  0.39
O  0.0738  0.6660  0.1781  0.39
Se  0.2238  0.4476  0.7161  -0.02
Pb  0.0000  0.0000  0.0000  0.00
O  0.8608  0.7217  0.5685  0.11
O  0.3857  0.7715  0.8057  0.01
O  0.6143  0.2285  0.1943  0.01

=====

No. 6
# PbSeO3

A relaxed structure of PbSeO3 (GGA-PBE, the Alexandria database).

Results
**DOS(E_F)**: 0.00 states/eV per cell

Cell lengths 5.6746, 4.5859, 6.7813 Å; angles 72.55, 90.00, 90.00 degrees
Fractional coordinates of all 10 atoms:
Pb  0.2500  0.8749  0.8048
O  0.4838  0.7015  0.1672
Se  0.7500  0.4085  0.6589
Pb  0.7500  0.1251  0.1952
O  0.7500  0.7983  0.6062
O  0.9838  0.2985  0.8328
O  0.5162  0.2985  0.8328
O  0.2500  0.2017  0.3938
Se  0.2500  0.5915  0.3411
O  0.0162  0.7015  0.1672

=====

Number 1: total magnetization 0.000 μB per formula unit, uncorrected formation energy -892 meV per atom. Number 2: total magnetization 0.000 μB per formula unit, uncorrected formation energy -598 meV per atom. Number 3: total magnetization 0.000 μB per formula unit, uncorrected formation energy -636 meV per atom. Number 4: total magnetization 0.000 μB per formula unit, uncorrected formation energy -792 meV per atom. Number 5: total magnetization 2.093 μB per formula unit, uncorrected formation energy -418 meV per atom. Number 6: total magnetization 0.000 μB per formula unit, uncorrected formation energy -1037 meV per atom.